# 1
This record from the Alexandria database describes a geometry-optimized SrIrO3 structure. The functional is PBEsol.

Unit cell a=3.9517 b=3.9517 c=3.9517 alpha=90.00 beta=90.00 gamma=90.00
Space group Pm-3m (No. 221)
Unique sites:
Sr1 0.0000 0.0000 0.0000 (multiplicity 1)
Ir1 0.5000 0.5000 0.5000 (multiplicity 1)
O1 0.0000 0.5000 0.5000 (multiplicity 3)

# 2
This record from the Alexandria database describes a geometry-optimized SrIrO3 structure. The functional is PBEsol.

Unit cell a=5.6202 b=7.8460 c=5.5364 alpha=90.00 beta=90.00 gamma=90.00
Space group Pnma (No. 62)
Unique sites:
Sr1 0.0419 0.2500 0.0087 (multiplicity 4)
Ir1 0.0000 0.0000 0.5000 (multiplicity 4)
O1 0.0226 0.7500 0.4214 (multiplicity 4)
O2 0.2073 0.5405 0.7938 (multiplicity 8)

# 3
This record from the Alexandria database describes a geometry-optimized Sr2IrO4 structure. The functional is PBEsol.

Unit cell a=5.4477 b=5.4477 c=25.8881 alpha=90.00 beta=90.00 gamma=90.00
Space group I4_1/acd (No. 142, origin choice 2)
Unique sites:
Sr1 0.0000 0.2500 0.0500 (multiplicity 16)
Ir1 0.0000 0.2500 0.3750 (multiplicity 8)
O1 0.0000 0.2500 0.2952 (multiplicity 16)
O2 0.1897 0.0603 0.1250 (multiplicity 16)

# 4
This record from the Alexandria database describes a geometry-optimized Sr4Ir3O10 structure. The functional is PBEsol.

Unit cell a=3.9217 b=3.9217 c=28.4270 alpha=90.00 beta=90.00 gamma=90.00
Space group I4/mmm (No. 139)
Unique sites:
Sr1 0.0000 0.0000 0.0698 (multiplicity 4)
Sr2 0.0000 0.0000 0.2024 (multiplicity 4)
Ir1 0.0000 0.0000 0.3572 (multiplicity 4)
Ir2 0.0000 0.0000 0.5000 (multiplicity 2)
O1 0.0000 0.0000 0.2868 (multiplicity 4)
O2 0.0000 0.0000 0.4298 (multiplicity 4)
O3 0.0000 0.5000 0.0000 (multiplicity 4)
O4 0.0000 0.5000 0.1377 (multiplicity 8)

# 5
This record from the Alexandria database describes a geometry-optimized SrIrO3 structure. The functional is PBEsol.

Unit cell a=5.6035 b=9.3497 c=14.3496 alpha=90.00 beta=90.00 gamma=90.00
Space group Cmcm (No. 63)
Unique sites:
Sr1 0.0000 0.0087 0.2500 (multiplicity 4)
Sr2 0.0000 0.3219 0.6093 (multiplicity 8)
Ir1 0.0000 0.0000 0.0000 (multiplicity 4)
Ir2 0.0000 0.3391 0.1520 (multiplicity 8)
O1 0.0000 0.2028 0.0425 (multiplicity 8)
O2 0.0000 0.4888 0.2500 (multiplicity 4)
O3 0.2298 0.2533 0.2500 (multiplicity 8)
O4 0.2397 0.0388 0.5985 (multiplicity 16)

# 6
This record from the Alexandria database describes a geometry-optimized Sr5Ir6O18 structure. The functional is PBEsol.

Unit cell a=9.2742 b=9.2742 c=9.2742 alpha=90.00 beta=90.00 gamma=90.00
Space group Im-3 (No. 204)
Unique sites:
Sr1 0.0000 0.0000 0.0000 (multiplicity 2)
Sr2 0.2500 0.2500 0.2500 (multiplicity 8)
Ir1 0.0000 0.1542 0.5000 (multiplicity 12)
O1 0.0000 0.0000 0.3440 (multiplicity 12)
O2 0.0000 0.2884 0.3358 (multiplicity 24)

# 7
This record from the Alexandria database describes a geometry-optimized Sr2IrO4 structure. The functional is PBEsol.

Unit cell a=3.9060 b=3.9060 c=12.5688 alpha=90.00 beta=90.00 gamma=90.00
Space group I4/mmm (No. 139)
Unique sites:
Sr1 0.0000 0.0000 0.1459 (multiplicity 4)
Ir1 0.0000 0.0000 0.5000 (multiplicity 2)
O1 0.0000 0.0000 0.3369 (multiplicity 4)
O2 0.0000 0.5000 0.0000 (multiplicity 4)

# 8
This record from the Alexandria database describes a geometry-optimized SrTl2IrO structure. The functional is PBEsol.

Unit cell a=4.8170 b=4.8170 c=4.5998 alpha=90.00 beta=90.00 gamma=90.00
Space group P4/mmm (No. 123)
Unique sites:
Sr1 0.0000 0.0000 0.0000 (multiplicity 1)
Tl1 0.0000 0.5000 0.5000 (multiplicity 2)
Ir1 0.5000 0.5000 0.0000 (multiplicity 1)
O1 0.0000 0.0000 0.5000 (multiplicity 1)

no.,formation energy (no corrections) (eV per atom),uncorrected energy (eV per atom),magnetic moment (μB per atom)
1,-1.50,-6.99,0.0054
2,-1.62,-7.10,0.0003
3,-2.01,-6.94,0.0000
4,-1.71,-6.96,0.0005
5,-1.63,-7.11,0.0002
6,-1.43,-7.04,0.0000
7,-1.97,-6.90,0.0005
8,-0.15,-4.58,0.0002